Record 1
Material: CuSb3F
Method: DFT, PBE-GGA
State: relaxed

The calculation puts the formation energy without anion corrections at 0.2139 eV/atom. The calculation puts the energy above the most stable polymorph in this dataset at 0.043 eV per atom.

It has space group Pm-3m (No. 221), with a = 4.868 Å, b = 4.868 Å, c = 4.868 Å, α = 90.00°, β = 90.00° and γ = 90.00°. The distinct sites, in fractional coordinates, are Cu at (0.000, 0.000, 0.000), Sb at (0.000, 0.500, 0.500) and F at (0.500, 0.500, 0.500).



Record 2
Material: TmLuGaFe
Method: DFT, PBE-GGA
State: relaxed

For the formation energy from the elements, the calculation gives -230 meV per atom.

It has space group F-43m (No. 216), with a = 6.832 Å, b = 6.832 Å, c = 6.832 Å, α = 90.00°, β = 90.00° and γ = 90.00°. The distinct sites, in fractional coordinates, are Tm at (0.000, 0.000, 0.000), Lu at (0.000, 0.000, 0.500), Ga at (0.250, 0.250, 0.250) and Fe at (0.250, 0.250, 0.750).



Record 3
Material: Cd2SiCl
Method: DFT, PBE-GGA
State: relaxed

The calculation puts the formation energy without anion corrections at 0.3477 eV/atom. The calculation puts the energy above the most stable polymorph in this dataset at 0.425 eV per atom.

It has space group F-43m (No. 216), with a = 7.077 Å, b = 7.077 Å, c = 7.077 Å, α = 90.00°, β = 90.00° and γ = 90.00°. The distinct sites, in fractional coordinates, are Cd at (0.000, 0.000, 0.000), Cd at (0.250, 0.250, 0.250), Si at (0.250, 0.250, 0.750) and Cl at (0.000, 0.000, 0.500).



Record 4
Material: Th4TlCd3
Method: DFT, PBE-GGA
State: relaxed

For the formation energy from the elements, the calculation gives -85 meV per atom.

It has space group Pmma (No. 51), with a = 11.301 Å, b = 6.756 Å, c = 5.903 Å, α = 90.00°, β = 90.00° and γ = 90.00°. The distinct sites, in fractional coordinates, are Th at (0.000, 0.248, 0.000), Th at (0.250, 0.248, 0.363), Tl at (0.000, 0.500, 0.500), Cd at (0.000, 0.000, 0.500), Cd at (0.250, 0.000, 0.856) and Cd at (0.250, 0.500, 0.862).